No. 1
A plane-wave DFT calculation with GGA-PBE was carried out for ZrGaAg after structural relaxation.

For the density of states at the Fermi level, the calculation gives 1.8 states/eV/f.u. Its energy is -4.875 eV per atom.

The structure belongs to space group P4/nmm (No. 129, origin choice 2); the cell edges are 4.041, 4.041 and 7.138 Å and the angles 90.00°, 90.00° and 90.00°. The inequivalent atoms are Zr at (0.250, 0.250, 0.151), Ga at (0.250, 0.750, 0.500) and Ag at (0.250, 0.250, 0.751).


No. 2
A plane-wave DFT calculation with GGA-PBE was carried out for ZrGaAg after structural relaxation.

For the density of states at the Fermi level, the calculation gives 1.1 states/eV/f.u. Its energy is -5.059 eV per atom.

The structure belongs to space group I4mm (No. 107); the cell edges are 3.090, 3.090 and 11.659 Å and the angles 90.00°, 90.00° and 90.00°. The inequivalent atoms are Zr at (0.000, 0.000, 0.000), Ga at (0.000, 0.000, 0.340) and Ag at (0.000, 0.000, 0.690).


What did the second record say?
A plane-wave DFT calculation with GGA-PBE was carried out for ZrGaAg after structural relaxation.

For the density of states at the Fermi level, the calculation gives 1.1 states/eV/f.u. Its energy is -5.059 eV per atom.

The structure belongs to space group I4mm (No. 107); the cell edges are 3.090, 3.090 and 11.659 Å and the angles 90.00°, 90.00° and 90.00°. The inequivalent atoms are Zr at (0.000, 0.000, 0.000), Ga at (0.000, 0.000, 0.340) and Ag at (0.000, 0.000, 0.690).


Repeat the second record exactly.
A plane-wave DFT calculation with GGA-PBE was carried out for ZrGaAg after structural relaxation.

For the density of states at the Fermi level, the calculation gives 1.1 states/eV/f.u. Its energy is -5.059 eV per atom.

The structure belongs to space group I4mm (No. 107); the cell edges are 3.090, 3.090 and 11.659 Å and the angles 90.00°, 90.00° and 90.00°. The inequivalent atoms are Zr at (0.000, 0.000, 0.000), Ga at (0.000, 0.000, 0.340) and Ag at (0.000, 0.000, 0.690).


Question: Which formula does entry 2 have?
Answer: ZrGaAg